No. 1
The following is a PBE calculation of an optimized crystal structure of PmPuRh4, from the Alexandria database.

The structure in CIF format:
```
data_PmPuRh4
_cell_length_a 7.594
_cell_length_b 7.594
_cell_length_c 7.594
_cell_angle_alpha 90.00
_cell_angle_beta 90.00
_cell_angle_gamma 90.00
_space_group_name_H-M_alt 'F -4 3 m'
_space_group_IT_number 216
_space_group_name_Hall 'F -4 2 3'
loop_
_atom_site_label
_atom_site_type_symbol
_atom_site_fract_x
_atom_site_fract_y
_atom_site_fract_z
Pm1 Pm 0.000 0.000 0.000
Pu1 Pu 0.250 0.250 0.250
Rh1 Rh 0.125 0.125 0.625
```

Calculated values
The total energy is -8.65 eV per atom. The density of states at the Fermi level is 2.34 states/eV per atom.



No. 2
The following is a PBE calculation of an optimized crystal structure of CdPPtCl2, from the Alexandria database.

The structure in CIF format:
```
data_CdPPtCl2
_cell_length_a 4.896
_cell_length_b 4.896
_cell_length_c 5.425
_cell_angle_alpha 90.00
_cell_angle_beta 90.00
_cell_angle_gamma 90.00
_space_group_name_H-M_alt 'P 4/m m m'
_space_group_IT_number 123
_space_group_name_Hall '-P 4 2'
loop_
_atom_site_label
_atom_site_type_symbol
_atom_site_fract_x
_atom_site_fract_y
_atom_site_fract_z
Cd1 Cd 0.000 0.000 0.000
P1 P 0.000 0.000 0.500
Pt1 Pt 0.500 0.500 0.500
Cl1 Cl 0.000 0.500 0.000
```

Calculated values
The total energy is -2.37 eV per atom. Its distance to the lowest polymorph of the same formula is 3.70 eV per formula unit. As for the formation energy without anion corrections: 0.8370 eV/atom. The density of states at the Fermi level is 0.35 states/eV per atom.



No. 3
The following is a PBE calculation of an optimized crystal structure of AcAlSbO6, from the Alexandria database.

The structure in CIF format:
```
data_AcAlSbO6
_cell_length_a 5.2176
_cell_length_b 5.2176
_cell_length_c 10.7705
_cell_angle_alpha 90.00
_cell_angle_beta 90.00
_cell_angle_gamma 120.00
_space_group_name_H-M_alt 'P -3 1 c'
_space_group_IT_number 163
_space_group_name_Hall '-P 3 2c'
loop_
_atom_site_label
_atom_site_type_symbol
_atom_site_fract_x
_atom_site_fract_y
_atom_site_fract_z
Ac1 Ac 0.0000 0.0000 0.0000
Al1 Al 0.3333 0.6667 0.2500
Sb1 Sb 0.3333 0.6667 0.7500
O1 O 0.0110 0.3827 0.1481
```

Calculated values
The total energy is -6.95 eV per atom. As for the formation energy without anion corrections: -2.3178 eV/atom. The density of states at the Fermi level is 0.89 states/eV per atom.



No. 4
The following is a PBE calculation of an optimized crystal structure of EuYPt, from the Alexandria database.

The structure in CIF format:
```
data_EuYPt
_cell_length_a 7.005
_cell_length_b 7.005
_cell_length_c 7.005
_cell_angle_alpha 90.00
_cell_angle_beta 90.00
_cell_angle_gamma 90.00
_space_group_name_H-M_alt 'F -4 3 m'
_space_group_IT_number 216
_space_group_name_Hall 'F -4 2 3'
loop_
_atom_site_label
_atom_site_type_symbol
_atom_site_fract_x
_atom_site_fract_y
_atom_site_fract_z
Eu1 Eu 0.000 0.000 0.000
Y1 Y 0.000 0.000 0.500
Pt1 Pt 0.250 0.250 0.750
```

Calculated values
The total energy is -8.33 eV per atom. Its distance to the lowest polymorph of the same formula is 0.00 eV per formula unit. The density of states at the Fermi level is 0.88 states/eV per atom.



Copy entry 2 word for word.
The following is a PBE calculation of an optimized crystal structure of CdPPtCl2, from the Alexandria database.

The structure in CIF format:
```
data_CdPPtCl2
_cell_length_a 4.896
_cell_length_b 4.896
_cell_length_c 5.425
_cell_angle_alpha 90.00
_cell_angle_beta 90.00
_cell_angle_gamma 90.00
_space_group_name_H-M_alt 'P 4/m m m'
_space_group_IT_number 123
_space_group_name_Hall '-P 4 2'
loop_
_atom_site_label
_atom_site_type_symbol
_atom_site_fract_x
_atom_site_fract_y
_atom_site_fract_z
Cd1 Cd 0.000 0.000 0.000
P1 P 0.000 0.000 0.500
Pt1 Pt 0.500 0.500 0.500
Cl1 Cl 0.000 0.500 0.000
```

Calculated values
The total energy is -2.37 eV per atom. Its distance to the lowest polymorph of the same formula is 3.70 eV per formula unit. As for the formation energy without anion corrections: 0.8370 eV/atom. The density of states at the Fermi level is 0.35 states/eV per atom.